Material: LaCe2ThSb4
Method: DFT, PBE
State: optimized geometry

```
data_LaCe2ThSb4
_cell_length_a 4.5279
_cell_length_b 7.8697
_cell_length_c 7.8481
_cell_angle_alpha 70.63
_cell_angle_beta 90.00
_cell_angle_gamma 90.00
_space_group_name_H-M_alt 'P 1'
_space_group_IT_number 1
_space_group_name_Hall 'P 1'
loop_
_atom_site_label
_atom_site_fract_x
_atom_site_fract_y
_atom_site_fract_z
Th1 0.0000 0.5000 0.5000
Sb1 0.0000 0.2457 0.2550
Sb2 0.5000 0.7519 0.2524
Sb3 0.0000 0.7543 0.7450
Sb4 0.5000 0.2481 0.7476
Ce1 0.0000 0.0000 0.0000
Ce2 0.5000 0.0000 0.5000
La1 0.5000 0.5000 0.0000
```

Output
The uncorrected formation energy is -1.081 eV/atom. Its space-group type is No. 10.